The following is a GGA-PBE calculation of an optimized crystal structure of La2Nd2Ru, from Alexandria via LeMat-Bulk.

Cell: 12.426 12.426 6.232 Å, 90.12 90.12 20.29°
Element x y z (fractional)
La 0.065 0.065 0.287
La 0.309 0.309 0.513
La 0.691 0.691 0.487
La 0.935 0.935 0.713
Nd 0.187 0.187 0.964
Nd 0.444 0.444 0.229
Nd 0.556 0.556 0.771
Nd 0.813 0.813 0.036
Ru 0.376 0.376 0.861
Ru 0.624 0.624 0.139

Output
- ΔH_f (0 K) (eV per atom) = -0.117
- total moment (μB per formula unit) = 0.00